Entry one
Below is crystalline LiOsF2 at its relaxed geometry, with properties calculated at the PBE-GGA level.

The structure belongs to space group Fm-3m (No. 225); the cell edges are 5.675, 5.675 and 5.675 Å and the angles 90.00°, 90.00° and 90.00°. Symmetry generates all atoms from Li at (0.000, 0.000, 0.000), Os at (0.000, 0.000, 0.500) and F at (0.250, 0.250, 0.250).

Entry two
Below is crystalline LiOsF2 at its relaxed geometry, with properties calculated at the PBE-GGA level.

The structure belongs to space group I-42d (No. 122); the cell edges are 4.780, 4.780 and 8.175 Å and the angles 90.00°, 90.00° and 90.00°. Symmetry generates all atoms from Li at (0.000, 0.000, 0.000), Os at (0.000, 0.000, 0.500) and F at (0.165, 0.250, 0.125).

Entry three
Below is crystalline LiOsF2 at its relaxed geometry, with properties calculated at the PBE-GGA level.

The structure belongs to space group R-3m (No. 166, hexagonal axes); the cell edges are 2.6952, 2.6952 and 22.7152 Å and the angles 90.00°, 90.00° and 120.00°. Symmetry generates all atoms from Li at (0.0000, 0.0000, 0.0000), Os at (0.0000, 0.0000, 0.5000) and F at (0.0000, 0.0000, 0.0738).

Bottom line: entry three, by a margin of 9.0 kJ/mol of atoms.

Entry one
Below is crystalline LiOs2F at its relaxed geometry, with properties calculated at the PBE-GGA level.

The structure belongs to space group I-42d (No. 122); the cell edges are 8.113, 8.113 and 3.859 Å and the angles 90.00°, 90.00° and 90.00°. Symmetry generates all atoms from Li at (0.000, 0.000, 0.000), Os at (0.173, 0.250, 0.625) and F at (0.000, 0.000, 0.500).

Entry two
Below is crystalline LiOs2F at its relaxed geometry, with properties calculated at the PBE-GGA level.

The structure belongs to space group Fm-3m (No. 225); the cell edges are 5.791, 5.791 and 5.791 Å and the angles 90.00°, 90.00° and 90.00°. Symmetry generates all atoms from Li at (0.000, 0.000, 0.000), Os at (0.250, 0.250, 0.250) and F at (0.000, 0.000, 0.500).

Bottom line: entry one, by a margin of 58.2 kJ/mol of atoms.

Entry one
Below is crystalline Li3OsF at its relaxed geometry, with properties calculated at the PBE-GGA level.

The structure belongs to space group Pm-3m (No. 221); the cell edges are 4.943, 4.943 and 4.943 Å and the angles 90.00°, 90.00° and 90.00°. Symmetry generates all atoms from Li at (0.000, 0.000, 0.500), Os at (0.000, 0.000, 0.000) and F at (0.500, 0.500, 0.500).

Entry two
Below is crystalline Li3OsF at its relaxed geometry, with properties calculated at the PBE-GGA level.

The structure belongs to space group Pm-3m (No. 221); the cell edges are 3.918, 3.918 and 3.918 Å and the angles 90.00°, 90.00° and 90.00°. Symmetry generates all atoms from Li at (0.000, 0.000, 0.500), Os at (0.500, 0.500, 0.500) and F at (0.000, 0.000, 0.000).

Bottom line: entry two, by a margin of 86.0 kJ/mol of atoms.

Entry one
Below is crystalline LiPF6 at its relaxed geometry, with properties calculated at the PBE-GGA level.

The structure belongs to space group C2/m (No. 12); the cell edges are 4.730, 9.134 and 4.685 Å and the angles 90.00°, 102.45° and 90.00°. Symmetry generates all atoms from Li at (0.000, 0.000, 0.000), P at (0.000, 0.500, 0.500), F at (0.194, 0.374, 0.702) and F at (0.228, 0.500, 0.281).

Entry two
Below is crystalline LiPF6 at its relaxed geometry, with properties calculated at the PBE-GGA level.

The structure belongs to space group R-3 (No. 148, hexagonal axes); the cell edges are 5.0189, 5.0189 and 12.8325 Å and the angles 90.00°, 90.00° and 120.00°. Symmetry generates all atoms from Li at (0.0000, 0.0000, 0.0000), P at (0.0000, 0.0000, 0.5000) and F at (0.0419, 0.6055, 0.2402).

Bottom line: entry two, by a margin of 2.0 kJ/mol of atoms.

Entry one
Below is crystalline LiPF3 at its relaxed geometry, with properties calculated at the PBE-GGA level.

The structure belongs to space group Pm-3m (No. 221); the cell edges are 3.702, 3.702 and 3.702 Å and the angles 90.00°, 90.00° and 90.00°. Symmetry generates all atoms from Li at (0.000, 0.000, 0.000), P at (0.500, 0.500, 0.500) and F at (0.000, 0.000, 0.500).

Entry two
Below is crystalline LiPF3 at its relaxed geometry, with properties calculated at the PBE-GGA level.

The structure belongs to space group Pm-3m (No. 221); the cell edges are 4.239, 4.239 and 4.239 Å and the angles 90.00°, 90.00° and 90.00°. Symmetry generates all atoms from Li at (0.000, 0.000, 0.000), P at (0.500, 0.500, 0.500) and F at (0.000, 0.500, 0.500).

Bottom line: entry two, by a margin of 9.4 kJ/mol of atoms.

Entry one
Below is crystalline LiP2F at its relaxed geometry, with properties calculated at the PBE-GGA level.

The structure belongs to space group I-42d (No. 122); the cell edges are 3.134, 3.134 and 28.495 Å and the angles 90.00°, 90.00° and 90.00°. Symmetry generates all atoms from Li at (0.000, 0.000, 0.000), P at (0.250, 0.250, 0.125) and F at (0.000, 0.000, 0.500).

Entry two
Below is crystalline LiP2F at its relaxed geometry, with properties calculated at the PBE-GGA level.

The structure belongs to space group Fm-3m (No. 225); the cell edges are 5.918, 5.918 and 5.918 Å and the angles 90.00°, 90.00° and 90.00°. Symmetry generates all atoms from Li at (0.000, 0.000, 0.000), P at (0.250, 0.250, 0.250) and F at (0.000, 0.000, 0.500).

Bottom line: entry one, by a margin of 97.2 kJ/mol of atoms.

Entry one
Below is crystalline LiPS2F at its relaxed geometry, with properties calculated at the PBE-GGA level.

The structure belongs to space group P4/mmm (No. 123); the cell edges are 4.908, 4.908 and 3.777 Å and the angles 90.00°, 90.00° and 90.00°. Symmetry generates all atoms from Li at (0.000, 0.000, 0.000), P at (0.500, 0.500, 0.000), S at (0.000, 0.500, 0.500) and F at (0.500, 0.500, 0.500).

Entry two
Below is crystalline LiPS2F at its relaxed geometry, with properties calculated at the PBE-GGA level.

The structure belongs to space group P4/mmm (No. 123); the cell edges are 4.179, 4.179 and 4.526 Å and the angles 90.00°, 90.00° and 90.00°. Symmetry generates all atoms from Li at (0.000, 0.000, 0.000), P at (0.000, 0.000, 0.500), S at (0.000, 0.500, 0.000) and F at (0.500, 0.500, 0.500).

Bottom line: entry one, by a margin of 18.7 kJ/mol of atoms.

Entry one
Below is crystalline LiPa2F8 at its relaxed geometry, with properties calculated at the PBE-GGA level.

The structure belongs to space group C2/m (No. 12); the cell edges are 10.551, 7.493 and 4.265 Å and the angles 90.00°, 110.14° and 90.00°. Symmetry generates all atoms from Li at (0.000, 0.000, 0.000), Pa at (0.186, 0.500, 0.416), F at (0.065, 0.500, 0.806), F at (0.122, 0.201, 0.344) and F at (0.187, 0.000, 0.931).

Entry two
Below is crystalline LiPa2F8 at its relaxed geometry, with properties calculated at the PBE-GGA level.

The structure belongs to space group C2/m (No. 12); the cell edges are 7.282, 11.061 and 4.548 Å and the angles 90.00°, 101.59° and 90.00°. Symmetry generates all atoms from Li at (0.000, 0.000, 0.000), Pa at (0.000, 0.325, 0.000), F at (0.000, 0.272, 0.500), F at (0.100, 0.500, 0.273) and F at (0.184, 0.137, 0.038).

Bottom line: entry two, by a margin of 0.6 kJ/mol of atoms.

Entry one
Below is crystalline LiPbF2 at its relaxed geometry, with properties calculated at the PBE-GGA level.

The structure belongs to space group Fm-3m (No. 225); the cell edges are 6.356, 6.356 and 6.356 Å and the angles 90.00°, 90.00° and 90.00°. Symmetry generates all atoms from Li at (0.000, 0.000, 0.000), Pb at (0.000, 0.000, 0.500) and F at (0.250, 0.250, 0.250).

Entry two
Below is crystalline LiPbF2 at its relaxed geometry, with properties calculated at the PBE-GGA level.

The structure belongs to space group R-3m (No. 166, hexagonal axes); the cell edges are 3.2713, 3.2713 and 20.4030 Å and the angles 90.00°, 90.00° and 120.00°. Symmetry generates all atoms from Li at (0.0000, 0.0000, 0.0000), Pb at (0.0000, 0.0000, 0.5000) and F at (0.0000, 0.0000, 0.3851).

Entry three
Below is crystalline LiPbF2 at its relaxed geometry, with properties calculated at the PBE-GGA level.

The structure belongs to space group R-3m (No. 166, hexagonal axes); the cell edges are 3.3956, 3.3956 and 22.4779 Å and the angles 90.00°, 90.00° and 120.00°. Symmetry generates all atoms from Li at (0.0000, 0.0000, 0.0000), Pb at (0.0000, 0.0000, 0.5000) and F at (0.0000, 0.0000, 0.0762).

Bottom line: entry two, by a margin of 22.3 kJ/mol of atoms.

Entry one
Below is crystalline LiPbF2 at its relaxed geometry, with properties calculated at the PBE-GGA level.

The structure belongs to space group P2_1 (No. 4); the cell edges are 3.256, 5.136 and 7.683 Å and the angles 90.00°, 90.06° and 90.00°. Symmetry generates all atoms from Li at (0.249, 0.000, 0.078), Pb at (0.251, 0.092, 0.591), F at (0.249, 0.237, 0.266) and F at (0.251, 0.272, 0.897).

Entry two
Below is crystalline LiPbF2 at its relaxed geometry, with properties calculated at the PBE-GGA level.

The structure belongs to space group I-42d (No. 122); the cell edges are 5.270, 5.270 and 9.451 Å and the angles 90.00°, 90.00° and 90.00°. Symmetry generates all atoms from Li at (0.000, 0.000, 0.000), Pb at (0.000, 0.000, 0.500) and F at (0.124, 0.250, 0.125).

Bottom line: entry one, by a margin of 9.9 kJ/mol of atoms.

Entry one
Below is crystalline LiPbF at its relaxed geometry, with properties calculated at the PBE-GGA level.

The structure belongs to space group C2/m (No. 12); the cell edges are 16.305, 3.017 and 5.275 Å and the angles 90.00°, 92.68° and 90.00°. Symmetry generates all atoms from Li at (0.000, 0.000, 0.000), Li at (0.000, 0.000, 0.500), Pb at (0.203, 0.500, 0.244) and F at (0.000, 0.500, 0.250).

Entry two
Below is crystalline LiPbF at its relaxed geometry, with properties calculated at the PBE-GGA level.

The structure belongs to space group P-6m2 (No. 187); the cell edges are 3.2531, 3.2531 and 7.6264 Å and the angles 90.00°, 90.00° and 120.00°. Symmetry generates all atoms from Li at (0.0000, 0.0000, 0.0000), Pb at (0.3333, 0.6667, 0.5000) and F at (0.6667, 0.3333, 0.0000).

Bottom line: entry two, by a margin of 3.1 kJ/mol of atoms.

Entry one
Below is crystalline LiPb2F at its relaxed geometry, with properties calculated at the PBE-GGA level.

The structure belongs to space group Fm-3m (No. 225); the cell edges are 6.960, 6.960 and 6.960 Å and the angles 90.00°, 90.00° and 90.00°. Symmetry generates all atoms from Li at (0.000, 0.000, 0.000), Pb at (0.250, 0.250, 0.250) and F at (0.000, 0.000, 0.500).

Entry two
Below is crystalline LiPb2F at its relaxed geometry, with properties calculated at the PBE-GGA level.

The structure belongs to space group I-42d (No. 122); the cell edges are 4.831, 4.831 and 17.396 Å and the angles 90.00°, 90.00° and 90.00°. Symmetry generates all atoms from Li at (0.000, 0.000, 0.000), Pb at (0.203, 0.250, 0.625) and F at (0.000, 0.000, 0.500).

Bottom line: entry two, by a margin of 1.3 kJ/mol of atoms.